[1]
VASP calculation (PBE) on a relaxed CuReSiTe crystal.

Geometry as POSCAR:
```
CuReSiTe
1.0
6.3570 0.0000 0.0000
0.0000 6.3570 0.0000
0.0000 0.0000 6.3570
Cu Re Si Te
4 4 4 4
Cartesian
0.0000 0.0000 0.0000 Cu
0.0000 3.1785 3.1785 Cu
3.1785 0.0000 3.1785 Cu
3.1785 3.1785 0.0000 Cu
0.0000 0.0000 3.1785 Re
0.0000 3.1785 0.0000 Re
3.1785 0.0000 0.0000 Re
3.1785 3.1785 3.1785 Re
1.5893 1.5893 4.7678 Si
1.5893 4.7678 1.5893 Si
4.7678 1.5893 1.5893 Si
4.7678 4.7678 4.7678 Si
1.5893 1.5893 1.5893 Te
1.5893 4.7678 4.7678 Te
4.7678 1.5893 4.7678 Te
4.7678 4.7678 1.5893 Te
```

Total magnetization   0.108 Bohr magnetons per cell
Calculated volume   64.2 Å³/f.u.
Relative energy among the computed polymorphs   0.0 kJ per mole of atoms


[2]
VASP calculation (PBE) on a relaxed LiHfGeAu crystal.

Geometry as POSCAR:
```
LiHfGeAu
1.0
6.5540 0.0000 0.0000
0.0000 6.5540 0.0000
0.0000 0.0000 6.5540
Li Hf Ge Au
4 4 4 4
Cartesian
0.0000 0.0000 0.0000 Li
0.0000 3.2770 3.2770 Li
3.2770 0.0000 3.2770 Li
3.2770 3.2770 0.0000 Li
0.0000 0.0000 3.2770 Hf
0.0000 3.2770 0.0000 Hf
3.2770 0.0000 0.0000 Hf
3.2770 3.2770 3.2770 Hf
1.6385 1.6385 1.6385 Ge
1.6385 4.9155 4.9155 Ge
4.9155 1.6385 4.9155 Ge
4.9155 4.9155 1.6385 Ge
1.6385 1.6385 4.9155 Au
1.6385 4.9155 1.6385 Au
4.9155 1.6385 1.6385 Au
4.9155 4.9155 4.9155 Au
```

Total magnetization   0.001 Bohr magnetons per cell
Calculated volume   70.4 Å³/f.u.
Relative energy among the computed polymorphs   0.0 kJ per mole of atoms


[3]
VASP calculation (PBE) on a relaxed KCuBiTe3 crystal.

Geometry as POSCAR:
```
KCuBiTe3
1.0
2.1699 -7.4165 0.0000
2.1699 7.4165 0.0000
0.0000 0.0000 12.0183
K Cu Bi Te
2 2 2 6
Cartesian
2.1699 3.7837 9.0137 K
2.1699 -3.7837 3.0046 K
2.1699 6.6443 3.0046 Cu
2.1699 -6.6443 9.0137 Cu
2.1699 0.0000 0.0000 Bi
2.1699 0.0000 6.0091 Bi
2.1699 5.2547 0.6835 Te
2.1699 5.2547 5.3256 Te
2.1699 0.7818 3.0046 Te
2.1699 -0.7818 9.0137 Te
2.1699 -5.2547 6.6926 Te
2.1699 -5.2547 11.3348 Te
```

Raw total energy   -3.39 eV/atom
Calculated volume   193.4 Å³/f.u.